(i)
Material: K2LaTc
Method: DFT, PBE-GGA
State: optimized geometry

Output
density of states at the Fermi level	4.49	states/eV/f.u.

a = 4.3759 Å, b = 4.3759 Å, c = 14.0434 Å
α = 81.04°, β = 81.04°, γ = 90.00°
Each line ends with the local moment (μB).
Fractional coordinates of all 8 atoms:
K: 0.3750 0.3847 0.7500  -0.02
K: 0.1347 0.6250 0.2500  -0.02
K: 0.6153 0.1250 0.2500  -0.02
K: 0.8750 0.8653 0.7500  -0.02
Tc: 0.2500 0.7500 0.5000  1.54
Tc: 0.5000 0.5000 0.0000  1.54
La: 0.0000 0.0000 0.0000  -0.11
La: 0.7500 0.2500 0.5000  -0.11

(ii)
Material: K2LaTc
Method: DFT, PBE-GGA
State: optimized geometry

Output
density of states at the Fermi level	4.47	states/eV/f.u.

a = 6.7505 Å, b = 3.7865 Å, c = 5.0197 Å
α = 82.36°, β = 90.00°, γ = 90.00°
Each line ends with the local moment (μB).
Fractional coordinates of all 4 atoms:
K: 0.0000 0.5204 0.5171  -0.01
K: 0.0000 0.9796 0.9829  -0.01
La: 0.5000 0.2500 0.2500  -0.10
Tc: 0.5000 0.7500 0.7500  1.12

On energetic grounds, (ii) is preferred over the next structure by 43 meV/atom.

(i)
Material: K2LaTc
Method: DFT, PBE-GGA
State: optimized geometry

Output
density of states at the Fermi level	3.30	states/eV/f.u.

a = 4.1843 Å, b = 3.5691 Å, c = 10.8695 Å
α = 79.15°, β = 90.00°, γ = 90.00°
Fractional coordinates of all 4 atoms:
Tc: 0.5000 0.8518 0.6550
K: 0.0000 0.9512 0.9323
K: 0.5000 0.2076 0.3058
La: 0.0000 0.4894 0.6070

(ii)
Material: K2LaTc
Method: DFT, PBE-GGA
State: optimized geometry

Output
density of states at the Fermi level	5.60	states/eV/f.u.

a = 13.5194 Å, b = 13.5194 Å, c = 13.5194 Å
α = 14.68°, β = 14.68°, γ = 14.68°
Each line ends with the local moment (μB).
Fractional coordinates of all 4 atoms:
K: 0.4879 0.4879 0.4879  0.00
K: 0.0121 0.0121 0.0121  0.00
Tc: 0.7500 0.7500 0.7500  2.61
La: 0.2500 0.2500 0.2500  0.07

On energetic grounds, (i) is preferred over the next structure by 677 meV/atom.